# 1
Density functional theory data (PBE-GGA) for an optimized crystal structure of BaLiMgIn2.

a b c (Å): 6.863 6.863 6.863
angles (deg): 136.98 136.98 62.46
Sites, in units of the cell vectors:
Ba  0.000  0.000  0.000
Li  0.250  0.750  0.500
Mg  0.750  0.250  0.500
In  0.378  0.378  0.000
In  0.622  0.622  0.000

Properties
space-group type = I-4m2, No. 119
energy above the most stable polymorph in this dataset = 0 meV per atom
final energy = -0.0907 hartree per atom

# 2
Density functional theory data (PBE-GGA) for an optimized crystal structure of BaLiMg2In4.

a b c (Å): 10.554 10.554 10.554
angles (deg): 27.31 27.31 27.31
Sites, in units of the cell vectors:
Ba  0.000  0.000  0.000
Li  0.500  0.500  0.500
Mg  0.235  0.235  0.235
Mg  0.765  0.765  0.765
In  0.130  0.130  0.130
In  0.403  0.403  0.403
In  0.597  0.597  0.597
In  0.870  0.870  0.870

Properties
space-group type = R-3m, No. 166
final energy = -0.0914 hartree per atom

# 3
Density functional theory data (PBE-GGA) for an optimized crystal structure of BaLiMg4In2.

a b c (Å): 10.347 10.347 10.347
angles (deg): 27.65 27.65 27.65
Sites, in units of the cell vectors:
Ba  0.000  0.000  0.000
Li  0.500  0.500  0.500
Mg  0.134  0.134  0.134
Mg  0.405  0.405  0.405
Mg  0.595  0.595  0.595
Mg  0.866  0.866  0.866
In  0.240  0.240  0.240
In  0.760  0.760  0.760

Properties
space-group type = R-3m, No. 166
final energy = -0.0783 hartree per atom

- Which of these has the highest final energy?
  BaLiMg4In2